This record from Alexandria via LeMat-Bulk describes a geometry-optimized BaPSeS2 structure. The functional is GGA-PBE.

abc: 6.0790 6.0790 6.4384
angles: 90.00 90.00 90.00
Space group P4/mmm (No. 123)
One atom of each set of equivalent atoms:
Ba  0.0000  0.0000  0.0000
P  0.0000  0.0000  0.5000
Se  0.5000  0.5000  0.5000
S  0.0000  0.5000  0.0000

- energy relative to the elements, uncorrected (meV per atom) = 1004
- E_tot (eV/atom) = -2.8104

---

This record from Alexandria via LeMat-Bulk describes a geometry-optimized BaP2SeS structure. The functional is GGA-PBE.

abc: 6.4708 6.4708 5.9857
angles: 90.00 90.00 90.00
Space group P4/mmm (No. 123)
One atom of each set of equivalent atoms:
Ba  0.0000  0.0000  0.0000
P  0.0000  0.5000  0.0000
Se  0.5000  0.5000  0.5000
S  0.0000  0.0000  0.5000

- energy relative to the elements, uncorrected (meV per atom) = 1342
- E_tot (eV/atom) = -2.7289

---

This record from Alexandria via LeMat-Bulk describes a geometry-optimized BaSiPS2 structure. The functional is GGA-PBE.

abc: 5.8294 5.8294 5.9292
angles: 90.00 90.00 90.00
Space group P4/mmm (No. 123)
One atom of each set of equivalent atoms:
Ba  0.0000  0.0000  0.0000
Si  0.5000  0.5000  0.5000
P  0.0000  0.0000  0.5000
S  0.0000  0.5000  0.0000

- energy relative to the elements, uncorrected (meV per atom) = 1159
- E_tot (eV/atom) = -3.0428

---

Calculated volume: 47.59, 50.13, 40.30 (Å³/atom)
Distance to the lowest polymorph of the same formula: 1323, 1371, 1760 (meV per atom)